Record 1
Entry from the Alexandria database: a PBEsol-optimized structure of Ti5MnP6O24 (meta-GGA SCAN).

Output
raw formation energy: -2.722 eV/atom
magnetic moment: 5.07 μB/cell
SG: No. 146
ρ: 3.325 Mg/m³

Lattice parameters (Å, degrees): 8.2354 8.2354 8.2354 64.22 64.22 64.22
Closest atoms and distances in Å follow each position.
Atoms (fractional coordinates):
O: 0.9781 0.1731 0.3968  1 P 1.49
O: 0.9422 0.1058 0.7457  1 P 1.58
O: 0.2573 0.0453 0.8934  1 P 1.55
O: 0.8882 0.6622 0.5166  1 P 1.53
O: 0.1058 0.7457 0.9422  1 P 1.58
O: 0.7516 0.4039 0.5634  1 P 1.58
O: 0.4428 0.2439 0.6018  1 P 1.59
O: 0.5166 0.8882 0.6622  1 P 1.53
O: 0.8934 0.2573 0.0453  1 P 1.55
O: 0.7457 0.9422 0.1058  1 P 1.58
O: 0.2439 0.6018 0.4428  1 P 1.59
O: 0.1143 0.3281 0.4924  1 P 1.53
O: 0.6622 0.5166 0.8882  1 P 1.53
O: 0.8284 0.6141 0.0034  1 P 1.52
O: 0.0453 0.8934 0.2573  1 P 1.55
O: 0.6141 0.0034 0.8284  1 P 1.52
O: 0.5634 0.7516 0.4039  1 P 1.58
O: 0.6018 0.4428 0.2439  1 P 1.59
O: 0.3968 0.9781 0.1731  1 P 1.49
O: 0.4039 0.5634 0.7516  1 P 1.58
O: 0.0034 0.8284 0.6141  1 P 1.52
O: 0.3281 0.4924 0.1143  1 P 1.53
O: 0.4924 0.1143 0.3281  1 P 1.53
O: 0.1731 0.3968 0.9781  1 P 1.49
Ti: 0.8651 0.8651 0.8651  6 O 1.96-2.04
Ti: 0.9973 0.9973 0.9973  6 O 2.04-2.08
Ti: 0.4985 0.4985 0.4985  6 O 2.07-2.11
Ti: 0.3628 0.3628 0.3628  6 O 1.94-2.04
Ti: 0.6406 0.6406 0.6406  6 O 1.89-2.02
P: 0.9541 0.2520 0.5408  4 O 1.49-1.58
P: 0.4581 0.0404 0.7533  4 O 1.52-1.59
P: 0.2520 0.5408 0.9541  4 O 1.49-1.58
P: 0.5408 0.9541 0.2520  4 O 1.49-1.58
P: 0.7533 0.4581 0.0404  4 O 1.52-1.59
P: 0.0404 0.7533 0.4581  4 O 1.52-1.59
Mn: 0.1442 0.1442 0.1442  3 O 1.98

---

Record 2
Entry from the Alexandria database: a PBEsol-optimized structure of Sr4ZrPt (meta-GGA SCAN).

Output
magnetic moment: 5.12 μB/cell
SG: No. 216
E_form: 0.91 eV/atom
ρ: 5.370 Mg/m³

Lattice parameters (Å, degrees): 6.5301 6.5301 6.5301 60.00 60.00 60.00
Closest atoms and distances in Å follow each position.
Atoms (fractional coordinates):
Pt: 0.0000 0.0000 0.0000  12 Sr 3.83, 4 Zr 4.00
Sr: 0.8763 0.3746 0.3746  6 Sr 3.25-3.28
Sr: 0.3746 0.8763 0.3746  6 Sr 3.25-3.28
Sr: 0.3746 0.3746 0.3746  6 Sr 3.25-3.28
Sr: 0.3746 0.3746 0.8763  6 Sr 3.25-3.28
Zr: 0.7500 0.7500 0.7500  12 Sr 3.83, 4 Pt 4.00

---

Record 3
Entry from the Alexandria database: a PBEsol-optimized structure of SrIrPdRh2 (meta-GGA SCAN).

Output
magnetic moment: 3.83 μB/cell
SG: No. 123
E_form: 0.91 eV/atom
ρ: 9.076 Mg/m³

Lattice parameters (Å, degrees): 4.7695 4.7656 4.7656 90.00 90.00 90.00
Closest atoms and distances in Å follow each position.
Atoms (fractional coordinates):
Ir: 0.5000 0.0000 0.0000  2 Pd 2.38
Rh: 0.0000 0.5000 0.0000  2 Pd 2.38
Rh: 0.0000 0.0000 0.5000  2 Pd 2.38
Sr: 0.5000 0.5000 0.5000  4 Ir 3.37, 8 Rh 3.37
Pd: 0.0000 0.0000 0.0000  4 Rh 2.38, 2 Ir 2.38

---

Record 4
Entry from the Alexandria database: a PBEsol-optimized structure of PPt2Se (meta-GGA SCAN).

Output
raw formation energy: -0.067 eV/atom
magnetic moment: 0.00 μB/cell
SG: No. 139
ρ: 12.513 Mg/m³

Lattice parameters (Å, degrees): 4.4225 4.4231 4.4237 111.56 111.55 105.37
Closest atoms and distances in Å follow each position.
Atoms (fractional coordinates):
Pt: 0.5000 0.5000 0.5000  2 P 2.49, 2 Se 2.49, 2 Pt 2.68
Pt: 0.0000 0.0000 0.5000  2 Se 2.49, 2 P 2.49, 2 Pt 2.68
Se: 0.5000 0.0000 0.0000  4 Pt 2.49, 2 P 2.68
P: 0.0000 0.5000 0.0000  4 Pt 2.49, 2 Se 2.68